Sc5Tl2AgPd2: relaxed, GGA-PBE.

Cell lengths 11.4127, 11.4127, 3.3644 Å; angles 90.00, 90.00, 90.00 degrees
Closest atoms and distances in Å follow each position.
Sites, in units of the cell vectors:
Sc: 0.0000 0.5000 0.0000  4 Pd 2.70
Sc: 0.0723 0.1970 0.0000  2 Pd 2.67, 2 Ag 2.93
Sc: 0.1970 0.9277 0.0000  2 Pd 2.67, 2 Ag 2.93
Sc: 0.3030 0.4277 0.0000  2 Pd 2.67, 2 Ag 2.93
Sc: 0.4277 0.6970 0.0000  2 Pd 2.67, 2 Ag 2.93
Sc: 0.5000 0.0000 0.0000  4 Pd 2.70
Sc: 0.5723 0.3030 0.0000  2 Pd 2.67, 2 Ag 2.93
Sc: 0.6970 0.5723 0.0000  2 Pd 2.67, 2 Ag 2.93
Sc: 0.8030 0.0723 0.0000  2 Pd 2.67, 2 Ag 2.93
Sc: 0.9277 0.8030 0.0000  2 Pd 2.67, 2 Ag 2.93
Tl: 0.1720 0.6720 0.5000  3 Pd 3.19-3.49, 6 Sc 3.25-3.38, 2 Tl 3.36
Tl: 0.3280 0.1720 0.5000  3 Pd 3.19-3.49, 6 Sc 3.25-3.38, 2 Tl 3.36
Tl: 0.6720 0.8280 0.5000  3 Pd 3.19-3.49, 6 Sc 3.25-3.38, 2 Tl 3.36
Tl: 0.8280 0.3280 0.5000  3 Pd 3.19-3.49, 6 Sc 3.25-3.38, 2 Tl 3.36
Ag: 0.0000 0.0000 0.5000  8 Sc 2.93
Ag: 0.5000 0.5000 0.5000  8 Sc 2.93
Pd: 0.1306 0.3694 0.5000  6 Sc 2.67-2.70
Pd: 0.3694 0.8694 0.5000  6 Sc 2.67-2.70
Pd: 0.6306 0.1306 0.5000  6 Sc 2.67-2.70
Pd: 0.8694 0.6306 0.5000  6 Sc 2.67-2.70

Properties
- Volume: 438.21 Å³ per cell
- Theoretical density: 7.2 g/cm3
- Space group: P4/mbm, No. 127
- Size of the total moment: 0.0 μB per cell
- E_tot: -5.39 eV/atom